Material: CePm4In2
Method: DFT, PBE-GGA
State: relaxed

```
data_CePm4In2
_chemical_formula_sum 'Ce2 Pm8 In4'
_space_group_name_H-M_alt 'I 4/m m m'
_space_group_IT_number 139
_space_group_name_Hall '-I 4 2'
_cell_length_a 5.873
_cell_length_b 5.873
_cell_length_c 12.893
_cell_angle_alpha 90.00
_cell_angle_beta 90.00
_cell_angle_gamma 90.00
loop_
_atom_site_label
_atom_site_fract_x
_atom_site_fract_y
_atom_site_fract_z
Ce1 0.000 0.000 0.000
Pm1 0.000 0.500 0.000
Pm2 0.000 0.500 0.250
In1 0.000 0.000 0.376
```

Summary:
E_tot (eV for the cell shown): -59.7
Crystal system: tetragonal
Formation energy from the elements (eV/atom): 0.08

Material: Ce2PmIn2
Method: DFT, PBE-GGA
State: relaxed

```
data_Ce2PmIn2
_chemical_formula_sum 'Ce4 Pm2 In4'
_space_group_name_H-M_alt 'P 4/m b m'
_space_group_IT_number 127
_space_group_name_Hall '-P 4 2ab'
_cell_length_a 9.308
_cell_length_b 9.308
_cell_length_c 3.346
_cell_angle_alpha 90.00
_cell_angle_beta 90.00
_cell_angle_gamma 90.00
loop_
_atom_site_label
_atom_site_fract_x
_atom_site_fract_y
_atom_site_fract_z
Ce1 0.102 0.398 0.000
Pm1 0.000 0.000 0.000
In1 0.190 0.690 0.500
```

Summary:
ΔE to the lowest computed polymorph (meV/atom): 42.0
E_tot (eV for the cell shown): -46.5
Crystal system: tetragonal
Formation energy from the elements (eV/atom): -0.23

| no. | mass density (Mg/m³) | DOS at the Fermi energy (states/eV per cell) | size of the total moment (μB/f.u.) |
| --- | --- | --- | --- |
| 1 | 7.092 | 22.22 | 0.45 |
| 2 | 7.502 | 20.35 | 1.23 |